RbBa2Se2: relaxed, PBE-GGA.

Output
Uncorrected formation energy, eV per atom: -1.413
Spin magnetization, μB/cell: 1.35
Total DFT energy (no corrections), eV per atom: -3.770
Density of states at the Fermi level, states/eV per atom: 0.54
E above lowest polymorph, kJ per mole of atoms: 0.0

abc: 9.096 9.096 4.434
angles: 90.00 90.00 90.00
Space group P4/mbm (No. 127)
Inequivalent atoms, fractional coordinates:
Rb1 0.000 0.000 0.000 [2 per cell]
Ba1 0.150 0.350 0.500 [4 per cell]
Se1 0.152 0.652 0.000 [4 per cell]

***

RbBa3Se: relaxed, PBE-GGA.

Output
Uncorrected formation energy, eV per atom: -0.647
Spin magnetization, μB/cell: 0.00
Total DFT energy (no corrections), eV per atom: -2.691
Density of states at the Fermi level, states/eV per atom: 2.29
E above lowest polymorph, kJ per mole of atoms: 0.0

abc: 6.631 6.631 6.631
angles: 90.00 90.00 90.00
Space group Pm-3m (No. 221)
Inequivalent atoms, fractional coordinates:
Rb1 0.000 0.000 0.000 [1 per cell]
Ba1 0.000 0.500 0.500 [3 per cell]
Se1 0.500 0.500 0.500 [1 per cell]

***

RbBaSe2: relaxed, PBE-GGA.

Output
Uncorrected formation energy, eV per atom: -1.225
Spin magnetization, μB/cell: 3.56
Total DFT energy (no corrections), eV per atom: -3.690
Density of states at the Fermi level, states/eV per atom: 1.36

abc: 8.097 8.097 8.097
angles: 90.00 90.00 90.00
Space group Fm-3m (No. 225)
Inequivalent atoms, fractional coordinates:
Rb1 0.000 0.000 0.000 [4 per cell]
Ba1 0.000 0.000 0.500 [4 per cell]
Se1 0.250 0.250 0.250 [8 per cell]

***

Rb2BaSe: relaxed, PBE-GGA.

Output
Uncorrected formation energy, eV per atom: -0.690
Spin magnetization, μB/cell: 0.00
Total DFT energy (no corrections), eV per atom: -2.525
Density of states at the Fermi level, states/eV per atom: 0.33

abc: 12.571 12.571 6.326
angles: 90.00 90.00 90.00
Space group I-42d (No. 122)
Inequivalent atoms, fractional coordinates:
Rb1 0.113 0.250 0.125 [8 per cell]
Ba1 0.000 0.000 0.500 [4 per cell]
Se1 0.000 0.000 0.000 [4 per cell]

***

Rb2BaSe10: relaxed, PBE-GGA.

Output
Uncorrected formation energy, eV per atom: -0.480
Spin magnetization, μB/cell: 0.00
Total DFT energy (no corrections), eV per atom: -3.457
Density of states at the Fermi level, states/eV per atom: 0.31

abc: 6.195 28.150 5.732
angles: 90.00 90.00 90.00
Space group Pbam (No. 55)
Inequivalent atoms, fractional coordinates:
Rb1 0.052 0.184 0.000 [4 per cell]
Ba1 0.000 0.500 0.500 [2 per cell]
Se1 0.010 0.958 0.500 [4 per cell]
Se2 0.059 0.673 0.500 [4 per cell]
Se3 0.168 0.401 0.203 [8 per cell]
Se4 0.211 0.268 0.500 [4 per cell]

***

RbBa2Se2: relaxed, PBE-GGA.

Output
Uncorrected formation energy, eV per atom: -1.254
Spin magnetization, μB/cell: 0.00
Total DFT energy (no corrections), eV per atom: -3.611
Density of states at the Fermi level, states/eV per atom: 0.73
E above lowest polymorph, kJ per mole of atoms: 15.3

abc: 9.386 9.386 4.073
angles: 90.00 90.00 90.00
Space group P4/mbm (No. 127)
Inequivalent atoms, fractional coordinates:
Rb1 0.000 0.000 0.000 [2 per cell]
Ba1 0.138 0.362 0.000 [4 per cell]
Se1 0.160 0.660 0.500 [4 per cell]

***

RbBa2Se2: relaxed, PBE-GGA.

Output
Uncorrected formation energy, eV per atom: -1.372
Spin magnetization, μB/cell: 0.00
Total DFT energy (no corrections), eV per atom: -3.728
Density of states at the Fermi level, states/eV per atom: 0.52
E above lowest polymorph, kJ per mole of atoms: 4.0

abc: 6.294 6.294 16.523
angles: 90.00 90.00 90.00
Space group I4/mmm (No. 139)
Inequivalent atoms, fractional coordinates:
Rb1 0.000 0.000 0.000 [2 per cell]
Ba1 0.000 0.500 0.250 [4 per cell]
Se1 0.000 0.000 0.206 [4 per cell]

***

RbBa3Se: relaxed, PBE-GGA.

Output
Uncorrected formation energy, eV per atom: 0.578
Spin magnetization, μB/cell: 2.10
Total DFT energy (no corrections), eV per atom: -1.466
Density of states at the Fermi level, states/eV per atom: 1.36
E above lowest polymorph, kJ per mole of atoms: 118.2

abc: 6.582 6.582 6.582
angles: 90.00 90.00 90.00
Space group Pm-3m (No. 221)
Inequivalent atoms, fractional coordinates:
Rb1 0.000 0.000 0.000 [1 per cell]
Ba1 0.000 0.000 0.500 [3 per cell]
Se1 0.500 0.500 0.500 [1 per cell]

***

Question: Among the records above, which one has the highest spin magnetization?
Answer: RbBaSe2